# 1
# NaSn2P2Pt7 | Alexandria via LeMat-Bulk | PBE | optimized geometry
data_NaSn2P2Pt7
_chemical_formula_sum 'Na1 Sn2 P2 Pt7'
_cell_length_a 3.895
_cell_length_b 3.895
_cell_length_c 15.201
_cell_angle_alpha 97.24
_cell_angle_beta 97.24
_cell_angle_gamma 90.01
_symmetry_space_group_name_H-M 'P 1'
_symmetry_Int_Tables_number 1
loop_
_symmetry_equiv_pos_as_xyz
'x,y,z'
loop_
_atom_site_label
_atom_site_type_symbol
_atom_site_fract_x
_atom_site_fract_y
_atom_site_fract_z
Na1 Na 0.000 0.000 0.000
Sn1 Sn 0.211 0.211 0.425
Sn2 Sn 0.789 0.789 0.575
P1 P 0.387 0.387 0.768
P2 P 0.613 0.613 0.232
Pt1 Pt 0.070 0.570 0.145
Pt2 Pt 0.306 0.306 0.613
Pt3 Pt 0.430 0.930 0.855
Pt4 Pt 0.500 0.500 0.000
Pt5 Pt 0.570 0.070 0.145
Pt6 Pt 0.694 0.694 0.387
Pt7 Pt 0.930 0.430 0.855
# - Crystal system: monoclinic
# - Space group: C2/m
# - Total moment: 0.00 μB per cell

# 2
# Li3Ca2Cu4 | Alexandria via LeMat-Bulk | PBE | optimized geometry
data_Li3Ca2Cu4
_chemical_formula_sum 'Li6 Ca4 Cu8'
_cell_length_a 8.496
_cell_length_b 8.496
_cell_length_c 7.272
_cell_angle_alpha 90.00
_cell_angle_beta 90.00
_cell_angle_gamma 140.82
_symmetry_space_group_name_H-M 'P 1'
_symmetry_Int_Tables_number 1
loop_
_symmetry_equiv_pos_as_xyz
'x,y,z'
loop_
_atom_site_label
_atom_site_type_symbol
_atom_site_fract_x
_atom_site_fract_y
_atom_site_fract_z
Li1 Li 0.000 0.000 0.000
Li2 Li 0.015 0.485 0.250
Li3 Li 0.485 0.015 0.750
Li4 Li 0.500 0.500 0.500
Li5 Li 0.515 0.985 0.250
Li6 Li 0.985 0.515 0.750
Ca1 Ca 0.103 0.897 0.405
Ca2 Ca 0.397 0.603 0.905
Ca3 Ca 0.603 0.397 0.095
Ca4 Ca 0.897 0.103 0.595
Cu1 Cu 0.157 0.843 0.991
Cu2 Cu 0.177 0.323 0.250
Cu3 Cu 0.323 0.177 0.750
Cu4 Cu 0.343 0.657 0.491
Cu5 Cu 0.657 0.343 0.509
Cu6 Cu 0.677 0.823 0.250
Cu7 Cu 0.823 0.677 0.750
Cu8 Cu 0.843 0.157 0.009
# - Crystal system: orthorhombic
# - Space group: Cmce
# - Total moment: 0.00 μB per cell

# 3
# Na2ThNbO6 | Alexandria via LeMat-Bulk | PBE | optimized geometry
data_Na2ThNbO6
_chemical_formula_sum 'Na4 Th2 Nb2 O12'
_cell_length_a 5.781
_cell_length_b 5.950
_cell_length_c 10.094
_cell_angle_alpha 90.00
_cell_angle_beta 124.88
_cell_angle_gamma 90.00
_symmetry_space_group_name_H-M 'P 1'
_symmetry_Int_Tables_number 1
loop_
_symmetry_equiv_pos_as_xyz
'x,y,z'
loop_
_atom_site_label
_atom_site_type_symbol
_atom_site_fract_x
_atom_site_fract_y
_atom_site_fract_z
Na1 Na 0.247 0.037 0.255
Na2 Na 0.247 0.463 0.755
Na3 Na 0.753 0.537 0.245
Na4 Na 0.753 0.963 0.745
Th1 Th 0.500 0.000 0.000
Th2 Th 0.500 0.500 0.500
Nb1 Nb 0.000 0.000 0.500
Nb2 Nb 0.000 0.500 0.000
O1 O 0.123 0.220 0.943
O2 O 0.123 0.280 0.443
O3 O 0.238 0.685 0.953
O4 O 0.238 0.815 0.453
O5 O 0.332 0.040 0.732
O6 O 0.332 0.460 0.232
O7 O 0.668 0.540 0.768
O8 O 0.668 0.960 0.268
O9 O 0.762 0.185 0.547
O10 O 0.762 0.315 0.047
O11 O 0.877 0.720 0.557
O12 O 0.877 0.780 0.057
# - Crystal system: monoclinic
# - Space group: P2_1/c
# - Raw formation energy: -2460 meV per atom
# - Total moment: 2.19 μB per cell

# 4
# SiPb | Alexandria via LeMat-Bulk | PBE | optimized geometry
data_SiPb
_chemical_formula_sum 'Si2 Pb2'
_cell_length_a 3.716
_cell_length_b 3.716
_cell_length_c 8.795
_cell_angle_alpha 102.35
_cell_angle_beta 102.35
_cell_angle_gamma 60.34
_symmetry_space_group_name_H-M 'P 1'
_symmetry_Int_Tables_number 1
loop_
_symmetry_equiv_pos_as_xyz
'x,y,z'
loop_
_atom_site_label
_atom_site_type_symbol
_atom_site_fract_x
_atom_site_fract_y
_atom_site_fract_z
Si1 Si 0.148 0.148 0.443
Si2 Si 0.852 0.852 0.557
Pb1 Pb 0.279 0.279 0.833
Pb2 Pb 0.721 0.721 0.167
# - Crystal system: monoclinic
# - Space group: C2/m
# - Raw formation energy: 222 meV per atom
# - Total moment: 0.00 μB per cell

# 5
# BaMgPt3 | Alexandria via LeMat-Bulk | PBE | optimized geometry
data_BaMgPt3
_chemical_formula_sum 'Ba1 Mg1 Pt3'
_cell_length_a 4.882
_cell_length_b 4.882
_cell_length_c 4.882
_cell_angle_alpha 90.00
_cell_angle_beta 90.00
_cell_angle_gamma 90.00
_symmetry_space_group_name_H-M 'P 1'
_symmetry_Int_Tables_number 1
loop_
_symmetry_equiv_pos_as_xyz
'x,y,z'
loop_
_atom_site_label
_atom_site_type_symbol
_atom_site_fract_x
_atom_site_fract_y
_atom_site_fract_z
Ba1 Ba 0.000 0.000 0.000
Mg1 Mg 0.500 0.500 0.500
Pt1 Pt 0.000 0.500 0.500
Pt2 Pt 0.500 0.000 0.500
Pt3 Pt 0.500 0.500 0.000
# - Crystal system: cubic
# - Space group: Pm-3m
# - Excess energy over the best structure of this formula in the dataset: 0.0 kJ/mol of formula units
# - Total moment: 0.00 μB per cell

# 6
# SrV2Ge2 | Alexandria via LeMat-Bulk | PBE | optimized geometry
data_SrV2Ge2
_chemical_formula_sum 'Sr1 V2 Ge2'
_cell_length_a 5.629
_cell_length_b 5.629
_cell_length_c 5.629
_cell_angle_alpha 130.98
_cell_angle_beta 130.98
_cell_angle_gamma 71.84
_symmetry_space_group_name_H-M 'P 1'
_symmetry_Int_Tables_number 1
loop_
_symmetry_equiv_pos_as_xyz
'x,y,z'
loop_
_atom_site_label
_atom_site_type_symbol
_atom_site_fract_x
_atom_site_fract_y
_atom_site_fract_z
Sr1 Sr 0.000 0.000 0.000
V1 V 0.392 0.392 0.000
V2 V 0.608 0.608 0.000
Ge1 Ge 0.250 0.750 0.500
Ge2 Ge 0.750 0.250 0.500
# - Crystal system: tetragonal
# - Space group: I4/mmm
# - Excess energy over the best structure of this formula in the dataset: 177.6 kJ/mol of formula units
# - Total moment: 0.00 μB per cell

For the records above, the corresponding DFT total energy values read -5.611; -2.929; -7.448; -4.344; -4.428; -5.749 eV/atom.